# 1
DFT (GGA-PBEsol) results for a relaxed Mg2CdPb crystal.

Summary:
Energy of formation from the pure elements in eV per atom: -0.081
Volume in Å³/atom: 23.00
DFT total energy in eV per atom: -2.238

abc: 4.2519 4.6513 4.6513
angles: 90.00 90.00 90.00
Closest atoms and distances in Å follow each position.
Element x y z (fractional)
Pb 0.5000 0.5000 0.5000  8 Mg 3.15, 4 Cd 3.29
Mg 0.0000 0.0000 0.5000  4 Cd 3.15, 4 Pb 3.15, 4 Mg 3.29
Mg 0.0000 0.5000 0.0000  4 Cd 3.15, 4 Pb 3.15, 4 Mg 3.29
Cd 0.5000 0.0000 0.0000  8 Mg 3.15, 4 Pb 3.29



# 2
DFT (GGA-PBEsol) results for a relaxed Mg2CdPb crystal.

Summary:
Energy of formation from the pure elements in eV per atom: -0.077
Volume in Å³/atom: 23.18
DFT total energy in eV per atom: -2.235

abc: 4.6821 4.6821 5.3714
angles: 115.84 115.84 90.00
Closest atoms and distances in Å follow each position.
Element x y z (fractional)
Pb 0.5000 0.5000 0.0000  8 Mg 3.15, 4 Cd 3.31
Mg 0.7500 0.2500 0.5000  4 Cd 3.15, 4 Pb 3.15, 4 Mg 3.31
Mg 0.2500 0.7500 0.5000  4 Cd 3.15, 4 Pb 3.15, 4 Mg 3.31
Cd 0.0000 0.0000 0.0000  8 Mg 3.15, 4 Pb 3.31



# 3
DFT (GGA-PBEsol) results for a relaxed Mg2CdPb crystal.

Summary:
Energy of formation from the pure elements in eV per atom: -0.066
Volume in Å³/atom: 23.19
DFT total energy in eV per atom: -2.223

abc: 3.3094 5.2679 5.3207
angles: 90.00 90.00 90.00
Closest atoms and distances in Å follow each position.
Element x y z (fractional)
Pb 0.5000 0.0000 0.5693  8 Mg 3.11-3.17, 2 Pb 3.31, 2 Cd 3.38
Mg 0.0000 0.0000 0.0735  4 Pb 3.11-3.15, 4 Cd 3.15, 4 Mg 3.31-3.35
Mg 0.0000 0.5000 0.6855  4 Cd 3.07-3.20, 4 Pb 3.17, 4 Mg 3.31-3.35
Cd 0.5000 0.5000 0.1716  8 Mg 3.07-3.20, 2 Cd 3.31, 2 Pb 3.38



# 4
DFT (GGA-PBEsol) results for a relaxed Mg2CdPb crystal.

Summary:
Energy of formation from the pure elements in eV per atom: -0.060
Volume in Å³/atom: 23.30
DFT total energy in eV per atom: -2.217

abc: 4.4382 4.4382 5.6784
angles: 113.00 113.00 90.00
Closest atoms and distances in Å follow each position.
Element x y z (fractional)
Pb 0.5000 0.5000 0.0000  8 Mg 3.14-3.24, 4 Cd 3.24
Mg 0.0000 0.0000 0.0000  4 Pb 3.14, 4 Cd 3.24, 4 Mg 3.24
Mg 0.7500 0.2500 0.5000  4 Cd 3.14, 4 Pb 3.24, 4 Mg 3.24
Cd 0.2500 0.7500 0.5000  8 Mg 3.14-3.24, 4 Pb 3.24



# 5
DFT (GGA-PBEsol) results for a relaxed MgCd2Pb crystal.

Summary:
Energy of formation from the pure elements in eV per atom: -0.012
Volume in Å³/atom: 23.38
DFT total energy in eV per atom: -2.040
Relative energy among the computed polymorphs in meV/atom: 10

abc: 3.3303 5.3769 5.5811
angles: 100.87 107.36 90.00
Closest atoms and distances in Å follow each position.
Element x y z (fractional)
Pb 0.0000 0.5000 0.0000  4 Mg 3.16, 6 Cd 3.20-3.28, 2 Pb 3.33
Mg 0.5000 0.0000 0.0000  6 Cd 3.13-3.23, 4 Pb 3.16, 2 Mg 3.33
Cd 0.2432 0.2338 0.4863  6 Cd 3.04-3.33, 3 Mg 3.13-3.23, 3 Pb 3.20-3.28
Cd 0.7568 0.7662 0.5137  6 Cd 3.04-3.33, 3 Mg 3.13-3.23, 3 Pb 3.20-3.28



# 6
DFT (GGA-PBEsol) results for a relaxed Mg2CdPb crystal.

Summary:
Energy of formation from the pure elements in eV per atom: -0.056
Volume in Å³/atom: 23.58
DFT total energy in eV per atom: -2.213

abc: 3.3729 3.3729 9.7710
angles: 80.06 80.06 60.00
Closest atoms and distances in Å follow each position.
Element x y z (fractional)
Pb 0.5000 0.5000 0.5000  6 Mg 3.19, 6 Pb 3.37
Mg 0.2548 0.2548 0.2357  3 Cd 2.98, 3 Pb 3.19
Mg 0.7452 0.7452 0.7643  3 Cd 2.98, 3 Pb 3.19
Cd 0.0000 0.0000 0.0000  6 Mg 2.98



# 7
DFT (GGA-PBEsol) results for a relaxed MgCd2Pb crystal.

Summary:
Energy of formation from the pure elements in eV per atom: 0.002
Volume in Å³/atom: 23.53
DFT total energy in eV per atom: -2.025
Relative energy among the computed polymorphs in meV/atom: 25

abc: 3.6044 3.6044 7.2457
angles: 90.00 90.00 90.00
Closest atoms and distances in Å follow each position.
Element x y z (fractional)
Pb 0.5000 0.5000 0.7469  4 Mg 3.23, 5 Cd 3.27-3.60, 4 Pb 3.60
Mg 0.0000 0.0000 0.4735  5 Cd 3.02-3.21, 4 Pb 3.23
Cd 0.0000 0.0000 0.0300  4 Cd 3.00, 1 Mg 3.21, 4 Pb 3.27
Cd 0.5000 0.5000 0.2496  4 Cd 3.00, 4 Mg 3.02



# 8
DFT (GGA-PBEsol) results for a relaxed Mg2CdPb crystal.

Summary:
Energy of formation from the pure elements in eV per atom: -0.059
Volume in Å³/atom: 23.30
DFT total energy in eV per atom: -2.216

abc: 4.4694 4.4234 5.5996
angles: 111.74 113.17 89.81
Closest atoms and distances in Å follow each position.
Element x y z (fractional)
Pb 0.5004 0.4974 0.9994  8 Mg 3.14-3.29, 4 Cd 3.21-3.26
Mg 0.0014 0.9984 0.0014  4 Pb 3.14-3.15, 4 Cd 3.15-3.30, 4 Mg 3.19-3.29
Mg 0.7503 0.2483 0.5003  4 Cd 3.11-3.17, 4 Pb 3.19-3.29, 4 Mg 3.19-3.29
Cd 0.2479 0.7560 0.4989  8 Mg 3.11-3.30, 4 Pb 3.21-3.26



# 9
DFT (GGA-PBEsol) results for a relaxed MgCd2Pb crystal.

Summary:
Energy of formation from the pure elements in eV per atom: -0.016
Volume in Å³/atom: 23.45
DFT total energy in eV per atom: -2.043
Relative energy among the computed polymorphs in meV/atom: 7

abc: 4.5048 4.5048 5.6143
angles: 113.65 113.65 90.00
Closest atoms and distances in Å follow each position.
Element x y z (fractional)
Pb 0.0000 0.0000 0.0000  4 Mg 3.19, 8 Cd 3.23
Mg 0.5000 0.5000 0.0000  4 Pb 3.19, 8 Cd 3.23
Cd 0.7500 0.2500 0.5000  4 Cd 3.19, 4 Pb 3.23, 4 Mg 3.23
Cd 0.2500 0.7500 0.5000  4 Cd 3.19, 4 Pb 3.23, 4 Mg 3.23



# 10
DFT (GGA-PBEsol) results for a relaxed MgCd2Pb crystal.

Summary:
Energy of formation from the pure elements in eV per atom: 0.005
Volume in Å³/atom: 23.81
DFT total energy in eV per atom: -2.022
Relative energy among the computed polymorphs in meV/atom: 28

abc: 3.3758 3.3758 9.8455
angles: 80.13 80.13 60.00
Closest atoms and distances in Å follow each position.
Element x y z (fractional)
Pb 0.2495 0.2495 0.2515  3 Mg 3.20, 3 Cd 3.23, 6 Pb 3.38
Mg 0.4950 0.4950 0.5150  3 Cd 2.99, 3 Pb 3.20
Cd 0.0053 0.0053 0.9842  3 Cd 2.99, 3 Pb 3.23
Cd 0.7502 0.7502 0.7494  3 Mg 2.99, 3 Cd 2.99



# 11
DFT (GGA-PBEsol) results for a relaxed Mg2CdPb crystal.

Summary:
Energy of formation from the pure elements in eV per atom: -0.062
Volume in Å³/atom: 23.51
DFT total energy in eV per atom: -2.219

abc: 3.3811 5.0897 5.9188
angles: 101.14 90.00 109.40
Closest atoms and distances in Å follow each position.
Element x y z (fractional)
Pb 0.0000 0.0000 0.5000  6 Mg 3.11-3.13, 2 Pb 3.38, 4 Cd 3.41
Mg 0.7545 0.5090 0.7700  3 Cd 2.99-3.03, 3 Pb 3.11-3.13, 2 Mg 3.22
Mg 0.2455 0.4910 0.2300  3 Cd 2.99-3.03, 3 Pb 3.11-3.13, 2 Mg 3.22
Cd 0.5000 0.0000 0.0000  6 Mg 2.99-3.03



# 12
DFT (GGA-PBEsol) results for a relaxed Mg2CdPb crystal.

Summary:
Energy of formation from the pure elements in eV per atom: -0.010
Volume in Å³/atom: 23.74
DFT total energy in eV per atom: -2.167

abc: 3.6564 3.6564 7.1022
angles: 90.00 90.00 90.00
Closest atoms and distances in Å follow each position.
Element x y z (fractional)
Pb 0.0000 0.0000 0.4978  5 Mg 3.19-3.47, 4 Cd 3.27
Mg 0.0000 0.0000 0.9866  4 Cd 2.97, 4 Mg 3.13
Mg 0.5000 0.5000 0.2350  4 Mg 3.13, 4 Pb 3.19, 1 Cd 3.23
Cd 0.5000 0.5000 0.7805  5 Mg 2.97-3.23, 4 Pb 3.27



# 13
DFT (GGA-PBEsol) results for a relaxed MgCd2Pb crystal.

Summary:
Energy of formation from the pure elements in eV per atom: -0.013
Volume in Å³/atom: 23.34
DFT total energy in eV per atom: -2.040
Relative energy among the computed polymorphs in meV/atom: 10

abc: 3.2781 4.3322 6.5752
angles: 90.00 90.00 90.00
Closest atoms and distances in Å follow each position.
Element x y z (fractional)
Pb 0.5000 0.5000 0.7432  4 Mg 3.20, 6 Cd 3.27-3.31, 2 Pb 3.28
Mg 0.0000 0.0000 0.4848  5 Cd 3.02-3.14, 4 Pb 3.20, 2 Mg 3.28
Cd 0.0000 0.0000 0.0254  1 Mg 3.02, 6 Cd 3.08-3.28, 4 Pb 3.29
Cd 0.5000 0.5000 0.2465  6 Cd 3.08-3.28, 4 Mg 3.14, 2 Pb 3.27-3.31



# 14
DFT (GGA-PBEsol) results for a relaxed MgCd2Pb crystal.

Summary:
Energy of formation from the pure elements in eV per atom: 0.048
Volume in Å³/atom: 24.11
DFT total energy in eV per atom: -1.979
Relative energy among the computed polymorphs in meV/atom: 71

abc: 5.1478 5.1478 5.1478
angles: 60.00 60.00 60.00
Closest atoms and distances in Å follow each position.
Element x y z (fractional)
Cd 0.2500 0.2500 0.2500  4 Pb 3.15, 4 Mg 3.15
Cd 0.7500 0.7500 0.7500  4 Pb 3.15, 4 Mg 3.15
Mg 0.0000 0.0000 0.0000  8 Cd 3.15
Pb 0.5000 0.5000 0.5000  8 Cd 3.15



# 15
DFT (GGA-PBEsol) results for a relaxed MgCd2Pb crystal.

Summary:
Energy of formation from the pure elements in eV per atom: -0.023
Volume in Å³/atom: 23.37
DFT total energy in eV per atom: -2.050
Relative energy among the computed polymorphs in meV/atom: 0

abc: 4.4915 4.4915 4.6336
angles: 90.00 90.00 90.00
Closest atoms and distances in Å follow each position.
Element x y z (fractional)
Pb 0.0000 0.0000 0.5000  4 Mg 3.18, 8 Cd 3.23
Mg 0.5000 0.5000 0.5000  4 Pb 3.18, 8 Cd 3.23
Cd 0.0000 0.5000 0.0000  4 Cd 3.18, 4 Pb 3.23, 4 Mg 3.23
Cd 0.5000 0.0000 0.0000  4 Cd 3.18, 4 Pb 3.23, 4 Mg 3.23



# 16
DFT (GGA-PBEsol) results for a relaxed MgCd2Pb crystal.

Summary:
Energy of formation from the pure elements in eV per atom: -0.015
Volume in Å³/atom: 23.40
DFT total energy in eV per atom: -2.043
Relative energy among the computed polymorphs in meV/atom: 8

abc: 4.4227 4.5678 5.6183
angles: 113.99 113.18 90.00
Closest atoms and distances in Å follow each position.
Element x y z (fractional)
Pb 0.0000 0.5000 0.0000  4 Mg 3.18, 8 Cd 3.21-3.24
Mg 0.5000 0.0000 0.0000  4 Pb 3.18, 8 Cd 3.19-3.26
Cd 0.7518 0.7518 0.5036  4 Cd 3.18, 4 Mg 3.19-3.26, 4 Pb 3.21-3.24
Cd 0.2482 0.2482 0.4964  4 Cd 3.18, 4 Mg 3.19-3.26, 4 Pb 3.21-3.24



# 17
DFT (GGA-PBEsol) results for a relaxed RbMgCdPd2 crystal.

Summary:
Energy of formation from the pure elements in eV per atom: 1.319
Volume in Å³/atom: 29.19
DFT total energy in eV per atom: -1.852

abc: 5.0472 5.0472 5.7291
angles: 90.00 90.00 90.00
Closest atoms and distances in Å follow each position.
Element x y z (fractional)
Mg 0.0000 0.0000 0.5000  2 Rb 2.86
Rb 0.0000 0.0000 0.0000  4 Pd 2.52
Pd 0.0000 0.5000 0.0000  2 Rb 2.52
Pd 0.5000 0.0000 0.0000  2 Rb 2.52
Cd 0.5000 0.5000 0.5000  4 Mg 3.57, 8 Pd 3.82



# 18
DFT (GGA-PBEsol) results for a relaxed PmMgCd2 crystal.

Summary:
Energy of formation from the pure elements in eV per atom: -0.362
Volume in Å³/atom: 23.27
DFT total energy in eV per atom: -2.674

abc: 5.0869 5.0869 5.0869
angles: 60.00 60.00 60.00
Closest atoms and distances in Å follow each position.
Element x y z (fractional)
Mg 0.5000 0.5000 0.5000  8 Cd 3.12
Pm 0.0000 0.0000 0.0000  8 Cd 3.12
Cd 0.7500 0.7500 0.7500  4 Mg 3.12, 4 Pm 3.12
Cd 0.2500 0.2500 0.2500  4 Mg 3.12, 4 Pm 3.12



# 19
DFT (GGA-PBEsol) results for a relaxed Pr2MgCd crystal.

Summary:
Energy of formation from the pure elements in eV per atom: -0.215
Volume in Å³/atom: 28.08
DFT total energy in eV per atom: -3.536

abc: 5.4155 5.4155 5.4155
angles: 60.00 60.00 60.00
Closest atoms and distances in Å follow each position.
Element x y z (fractional)
Pr 0.2500 0.2500 0.2500  4 Cd 3.32, 4 Mg 3.32
Pr 0.7500 0.7500 0.7500  4 Cd 3.32, 4 Mg 3.32
Mg 0.0000 0.0000 0.0000  8 Pr 3.32
Cd 0.5000 0.5000 0.5000  8 Pr 3.32



# 20
DFT (GGA-PBEsol) results for a relaxed MgCdPt2 crystal.

Summary:
Energy of formation from the pure elements in eV per atom: -0.561
Volume in Å³/atom: 16.14
DFT total energy in eV per atom: -4.771

abc: 2.9590 4.7345 4.7345
angles: 103.32 90.00 90.00
Closest atoms and distances in Å follow each position.
Element x y z (fractional)
Mg 0.5000 0.5000 0.5000  8 Pt 2.79, 2 Cd 2.94, 2 Mg 2.96
Pt 0.0000 0.5000 0.0000  4 Cd 2.79, 4 Mg 2.79, 4 Pt 2.94-2.96
Pt 0.0000 0.0000 0.5000  4 Mg 2.79, 4 Cd 2.79, 4 Pt 2.94-2.96
Cd 0.5000 0.0000 0.0000  8 Pt 2.79, 2 Mg 2.94, 2 Cd 2.96